Entry 1:
{"formula": "Tb3PS6", "functional": "PBE-GGA", "state": "optimized geometry", "lattice": [[5.273, -6.515, 0.000], [5.273, 6.515, 0.000], [0.000, 0.000, 7.039]], "species": ["Tb", "Tb", "Tb", "Tb", "Tb", "Tb", "P", "P", "S", "S", "S", "S", "S", "S", "S", "S", "S", "S", "S", "S"], "fractional_positions": [[0.101, 0.899, 0.500], [0.212, 0.414, 0.565], [0.414, 0.212, 0.065], [0.586, 0.788, 0.565], [0.788, 0.586, 0.065], [0.899, 0.101, 0.000], [0.315, 0.685, 0.153], [0.685, 0.315, 0.653], [0.081, 0.599, 0.283], [0.141, 0.185, 0.282], [0.185, 0.141, 0.782], [0.281, 0.719, 0.703], [0.401, 0.919, 0.283], [0.467, 0.533, 0.295], [0.533, 0.467, 0.795], [0.599, 0.081, 0.783], [0.719, 0.281, 0.203], [0.815, 0.859, 0.282], [0.859, 0.815, 0.782], [0.919, 0.401, 0.783]], "formation_energy_uncorrected_mev_per_atom": -1540, "final_energy_ry_per_atom": -0.437, "m_tot_mub_per_cell": 0.00}

=====

Entry 2:
{"formula": "Tb5P2S2", "functional": "PBE-GGA", "state": "optimized geometry", "lattice": [[7.035, -3.711, 0.000], [7.035, 3.711, 0.000], [0.000, 0.000, 7.487]], "species": ["Tb", "Tb", "Tb", "Tb", "Tb", "Tb", "Tb", "Tb", "Tb", "Tb", "P", "P", "P", "P", "S", "S", "S", "S"], "fractional_positions": [[0.000, 0.000, 0.000], [0.024, 0.704, 0.654], [0.204, 0.524, 0.154], [0.296, 0.976, 0.654], [0.476, 0.796, 0.154], [0.500, 0.500, 0.500], [0.524, 0.204, 0.846], [0.704, 0.024, 0.346], [0.796, 0.476, 0.846], [0.976, 0.296, 0.346], [0.145, 0.855, 0.356], [0.355, 0.645, 0.856], [0.645, 0.355, 0.144], [0.855, 0.145, 0.644], [0.196, 0.196, 0.000], [0.304, 0.304, 0.500], [0.696, 0.696, 0.500], [0.804, 0.804, 0.000]], "formation_energy_uncorrected_mev_per_atom": -1452, "final_energy_ry_per_atom": -0.452, "m_tot_mub_per_cell": 0.00}

=====

Entry 3:
{"formula": "Tb3P2S", "functional": "PBE-GGA", "state": "optimized geometry", "lattice": [[4.001, 0.000, 0.000], [0.000, 5.656, 0.000], [0.000, 0.000, 11.975]], "species": ["Tb", "Tb", "Tb", "Tb", "Tb", "Tb", "P", "P", "P", "P", "S", "S"], "fractional_positions": [[0.000, 0.000, 0.000], [0.000, 0.000, 0.330], [0.000, 0.000, 0.670], [0.500, 0.500, 0.170], [0.500, 0.500, 0.500], [0.500, 0.500, 0.830], [0.000, 0.500, 0.334], [0.000, 0.500, 0.666], [0.500, 0.000, 0.166], [0.500, 0.000, 0.834], [0.000, 0.500, 0.000], [0.500, 0.000, 0.500]], "formation_energy_uncorrected_mev_per_atom": -1816, "final_energy_ry_per_atom": -0.487, "m_tot_mub_per_cell": 0.00}

=====

Entry 4:
{"formula": "Tb7P5S", "functional": "PBE-GGA", "state": "optimized geometry", "lattice": [[6.604, -1.988, 0.000], [6.604, 1.988, 0.000], [-0.012, 0.000, 23.610]], "species": ["Tb", "Tb", "Tb", "Tb", "Tb", "Tb", "Tb", "Tb", "Tb", "Tb", "Tb", "Tb", "Tb", "Tb", "P", "P", "P", "P", "P", "P", "P", "P", "P", "P", "S", "S"], "fractional_positions": [[0.045, 0.045, 0.250], [0.137, 0.137, 0.964], [0.138, 0.138, 0.536], [0.322, 0.322, 0.176], [0.322, 0.322, 0.324], [0.413, 0.413, 0.603], [0.413, 0.413, 0.896], [0.587, 0.587, 0.104], [0.587, 0.587, 0.397], [0.678, 0.678, 0.676], [0.678, 0.678, 0.824], [0.862, 0.862, 0.464], [0.863, 0.863, 0.036], [0.955, 0.955, 0.750], [0.045, 0.045, 0.646], [0.045, 0.045, 0.854], [0.227, 0.227, 0.075], [0.227, 0.227, 0.425], [0.500, 0.500, 0.000], [0.500, 0.500, 0.500], [0.773, 0.773, 0.575], [0.773, 0.773, 0.925], [0.955, 0.955, 0.146], [0.955, 0.955, 0.354], [0.299, 0.299, 0.750], [0.701, 0.701, 0.250]], "formation_energy_uncorrected_mev_per_atom": -1514, "final_energy_ry_per_atom": -0.471, "m_tot_mub_per_cell": 0.00}

=====

Entry 5:
{"formula": "TbPS", "functional": "PBE-GGA", "state": "optimized geometry", "lattice": [[7.023, 0.000, 0.000], [0.000, 3.673, 0.000], [0.000, 0.000, 9.248]], "species": ["Tb", "Tb", "Tb", "Tb", "P", "P", "P", "P", "S", "S", "S", "S"], "fractional_positions": [[0.207, 0.250, 0.160], [0.293, 0.750, 0.660], [0.707, 0.250, 0.340], [0.793, 0.750, 0.840], [0.089, 0.250, 0.462], [0.411, 0.750, 0.962], [0.589, 0.250, 0.038], [0.911, 0.750, 0.538], [0.092, 0.250, 0.845], [0.408, 0.750, 0.345], [0.592, 0.250, 0.655], [0.908, 0.750, 0.155]], "formation_energy_uncorrected_mev_per_atom": -1517, "final_energy_ry_per_atom": -0.459, "m_tot_mub_per_cell": 0.00}

=====

Entry 6:
{"formula": "Tb5PS4", "functional": "PBE-GGA", "state": "optimized geometry", "lattice": [[-4.416, 4.416, 2.791], [4.416, -4.416, 2.791], [4.416, 4.416, -2.791]], "species": ["Tb", "Tb", "Tb", "Tb", "Tb", "P", "S", "S", "S", "S"], "fractional_positions": [[0.000, 0.000, 0.000], [0.205, 0.599, 0.803], [0.401, 0.205, 0.606], [0.599, 0.795, 0.394], [0.795, 0.401, 0.197], [0.500, 0.500, 0.000], [0.099, 0.301, 0.400], [0.301, 0.901, 0.202], [0.699, 0.099, 0.798], [0.901, 0.699, 0.600]], "formation_energy_uncorrected_mev_per_atom": -1968, "final_energy_ry_per_atom": -0.476, "m_tot_mub_per_cell": 0.00}

=====

Entry 7:
{"formula": "Tb8PS6", "functional": "PBE-GGA", "state": "optimized geometry", "lattice": [[9.979, 0.000, 0.000], [-4.990, 8.642, 0.000], [0.000, 0.000, 4.010]], "species": ["Tb", "Tb", "Tb", "Tb", "Tb", "Tb", "Tb", "Tb", "P", "S", "S", "S", "S", "S", "S"], "fractional_positions": [[0.031, 0.320, 0.241], [0.289, 0.969, 0.241], [0.320, 0.289, 0.759], [0.333, 0.667, 0.754], [0.667, 0.333, 0.246], [0.680, 0.711, 0.241], [0.711, 0.031, 0.759], [0.969, 0.680, 0.759], [0.000, 0.000, 0.000], [0.132, 0.652, 0.254], [0.348, 0.480, 0.254], [0.480, 0.132, 0.746], [0.520, 0.868, 0.254], [0.652, 0.520, 0.746], [0.868, 0.348, 0.746]], "formation_energy_uncorrected_mev_per_atom": -1520, "final_energy_ry_per_atom": -0.441, "m_tot_mub_per_cell": 0.00}

=====

Entry 8:
{"formula": "TbPS", "functional": "PBE-GGA", "state": "optimized geometry", "lattice": [[5.387, 0.000, 0.000], [0.000, 5.354, 0.000], [0.000, 0.000, 16.800]], "species": ["Tb", "Tb", "Tb", "Tb", "Tb", "Tb", "Tb", "Tb", "P", "P", "P", "P", "P", "P", "P", "P", "S", "S", "S", "S", "S", "S", "S", "S"], "fractional_positions": [[0.015, 0.250, 0.146], [0.016, 0.750, 0.362], [0.484, 0.250, 0.862], [0.485, 0.750, 0.646], [0.515, 0.250, 0.354], [0.516, 0.750, 0.138], [0.984, 0.250, 0.638], [0.985, 0.750, 0.854], [0.206, 0.538, 0.997], [0.206, 0.962, 0.997], [0.294, 0.038, 0.497], [0.294, 0.462, 0.497], [0.706, 0.538, 0.503], [0.706, 0.962, 0.503], [0.794, 0.038, 0.003], [0.794, 0.462, 0.003], [0.011, 0.250, 0.316], [0.015, 0.750, 0.189], [0.485, 0.250, 0.689], [0.489, 0.750, 0.816], [0.511, 0.250, 0.184], [0.515, 0.750, 0.311], [0.985, 0.250, 0.811], [0.989, 0.750, 0.684]], "formation_energy_uncorrected_mev_per_atom": -1575, "final_energy_ry_per_atom": -0.463, "m_tot_mub_per_cell": 0.00}